Record 1
DFT (PBE) results for a relaxed SrGaRe2Hg crystal.

Summary:
The offset from the most stable computed form comes out at 455 meV/atom.

Lattice parameters (Å, degrees): 5.213 5.213 4.968 90.00 90.00 90.00
Space group P4/mmm (No. 123)
One atom of each set of equivalent atoms:
Sr (0.000, 0.000, 0.000) (multiplicity 1)
Ga (0.500, 0.500, 0.000) (multiplicity 1)
Re (0.000, 0.500, 0.500) (multiplicity 2)
Hg (0.500, 0.500, 0.500) (multiplicity 1)



Record 2
DFT (PBE) results for a relaxed SrGa2ReHg crystal.

Summary:
For the energy, the calculation gives -3.831 eV/atom.

Lattice parameters (Å, degrees): 4.925 4.925 5.715 90.00 90.00 90.00
Space group P4/mmm (No. 123)
One atom of each set of equivalent atoms:
Sr (0.000, 0.000, 0.000) (multiplicity 1)
Ga (0.000, 0.500, 0.500) (multiplicity 2)
Re (0.000, 0.000, 0.500) (multiplicity 1)
Hg (0.500, 0.500, 0.000) (multiplicity 1)



Record 3
DFT (PBE) results for a relaxed SrGaRe2Hg crystal.

Summary:
The offset from the most stable computed form comes out at 0 meV/atom.

Lattice parameters (Å, degrees): 4.690 4.690 5.446 90.00 90.00 90.00
Space group P4/mmm (No. 123)
One atom of each set of equivalent atoms:
Sr (0.000, 0.000, 0.000) (multiplicity 1)
Ga (0.000, 0.000, 0.500) (multiplicity 1)
Re (0.000, 0.500, 0.500) (multiplicity 2)
Hg (0.500, 0.500, 0.000) (multiplicity 1)



Record 4
DFT (PBE) results for a relaxed TaGaRe2Hg crystal.

Summary:
For the energy, the calculation gives -6.270 eV/atom.

Lattice parameters (Å, degrees): 4.626 4.626 4.574 90.00 90.00 90.00
Space group P4/mmm (No. 123)
One atom of each set of equivalent atoms:
Ta (0.000, 0.000, 0.000) (multiplicity 1)
Ga (0.500, 0.500, 0.500) (multiplicity 1)
Re (0.000, 0.500, 0.500) (multiplicity 2)
Hg (0.500, 0.500, 0.000) (multiplicity 1)



Record 5
DFT (PBE) results for a relaxed VGa2ReHg crystal.

Summary:
For the energy, the calculation gives -4.074 eV/atom.

Lattice parameters (Å, degrees): 4.703 4.703 5.024 90.00 90.00 90.00
Space group P4/mmm (No. 123)
One atom of each set of equivalent atoms:
V (0.000, 0.000, 0.000) (multiplicity 1)
Ga (0.000, 0.500, 0.000) (multiplicity 2)
Re (0.500, 0.500, 0.500) (multiplicity 1)
Hg (0.000, 0.000, 0.500) (multiplicity 1)



Record 6
DFT (PBE) results for a relaxed Ga2ReHgW crystal.

Summary:
For the energy, the calculation gives -4.566 eV/atom.

Lattice parameters (Å, degrees): 4.870 4.870 5.237 90.00 90.00 90.00
Space group P4/mmm (No. 123)
One atom of each set of equivalent atoms:
Ga (0.000, 0.500, 0.000) (multiplicity 2)
Re (0.000, 0.000, 0.500) (multiplicity 1)
Hg (0.500, 0.500, 0.500) (multiplicity 1)
W (0.500, 0.500, 0.000) (multiplicity 1)



Record 7
DFT (PBE) results for a relaxed GaHgRh3 crystal.

Summary:
The offset from the most stable computed form comes out at 942 meV/atom.

Lattice parameters (Å, degrees): 4.944 4.944 4.944 90.00 90.00 90.00
Space group Pm-3m (No. 221)
One atom of each set of equivalent atoms:
Ga (0.000, 0.000, 0.000) (multiplicity 1)
Hg (0.500, 0.500, 0.500) (multiplicity 1)
Rh (0.000, 0.500, 0.500) (multiplicity 3)



Record 8
DFT (PBE) results for a relaxed GaHgRh crystal.

Summary:
For the energy, the calculation gives -3.765 eV/atom.

Lattice parameters (Å, degrees): 8.642 4.313 5.934 90.00 90.00 90.00
Space group Pnma (No. 62)
One atom of each set of equivalent atoms:
Ga (0.169, 0.250, 0.177) (multiplicity 4)
Hg (0.087, 0.250, 0.650) (multiplicity 4)
Rh (0.113, 0.750, 0.960) (multiplicity 4)